No. 1
A plane-wave DFT calculation with PBE-GGA was carried out for an optimized crystal structure of Sr3HfGa2O8.

```
Sr3HfGa2O8
1.0
5.747 0.000 0.000
-2.873 4.977 0.000
0.000 0.000 7.214
Sr Hf Ga O
3 1 2 8
direct
0.000 0.000 0.000
0.333 0.667 0.647
0.667 0.333 0.353
0.000 0.000 0.500
0.333 0.667 0.205
0.667 0.333 0.795
0.166 0.332 0.328
0.166 0.834 0.328
0.332 0.166 0.672
0.333 0.667 0.960
0.667 0.333 0.040
0.668 0.834 0.328
0.834 0.166 0.672
0.834 0.668 0.672
```

Summary:
- Formation energy from raw total energies: -2653 meV per atom
- DOS(E_F): 0.000 states/eV/cell

=====

No. 2
A plane-wave DFT calculation with PBE-GGA was carried out for an optimized crystal structure of B5C7.

```
B5C7
1.0
6.544 -1.274 0.000
6.544 1.274 0.000
-1.042 0.000 4.660
B C
5 7
direct
0.000 0.000 0.000
0.003 0.003 0.656
0.135 0.135 0.871
0.183 0.183 0.546
0.857 0.857 0.843
0.306 0.306 0.622
0.350 0.350 0.344
0.468 0.468 0.447
0.526 0.526 0.217
0.641 0.641 0.323
0.693 0.693 0.071
0.811 0.811 0.150
```

Summary:
- DOS(E_F): 2.719 states/eV/cell
- Formation enthalpy at 0 K: 348 meV/atom

=====

Which formula does entry 2 have?
B5C7